! YHg2 SCAN PBEsol geometry; values from VASP
&SYSTEM
  ibrav = 0, nat = 6, ntyp = 2
/
ATOMIC_SPECIES
Y 88.91 Y.upf
Hg 200.59 Hg.upf
ATOMIC_POSITIONS crystal
Y 0.333 0.667 0.750
Y 0.667 0.333 0.250
Hg 0.333 0.667 0.250
Hg 0.000 0.000 0.000
Hg 0.000 0.000 0.500
Hg 0.667 0.333 0.750
CELL_PARAMETERS angstrom
5.069 0.000 0.000
-2.534 4.390 0.000
0.000 0.000 6.223
! SG ... P6_3/mmc (194)
! ρ ... 11.8 g/cm3
! Calculated total energy ... -55.337 eV/atom
! Calculated formation energy ... -0.61 eV per atom
! Crystal system ... hexagonal

---

! Y5Hg3 SCAN PBEsol geometry; values from VASP
&SYSTEM
  ibrav = 0, nat = 16, ntyp = 2
/
ATOMIC_SPECIES
Y 88.91 Y.upf
Hg 200.59 Hg.upf
ATOMIC_POSITIONS crystal
Y 0.750 0.760 0.000
Y 0.250 0.760 0.760
Y 0.000 0.667 0.333
Y 0.500 0.333 0.667
Y 0.750 0.000 0.760
Y 0.750 0.240 0.240
Y 0.000 0.333 0.667
Y 0.500 0.667 0.333
Y 0.250 0.240 0.000
Y 0.250 0.000 0.240
Hg 0.750 0.399 0.000
Hg 0.250 0.601 0.000
Hg 0.250 0.000 0.601
Hg 0.750 0.000 0.399
Hg 0.750 0.601 0.601
Hg 0.250 0.399 0.399
CELL_PARAMETERS angstrom
6.122 0.000 0.000
0.000 8.911 0.000
0.000 -4.455 7.717
! SG ... P6_3/mcm (193)
! ρ ... 8.3 g/cm3
! Calculated total energy ... -43.566 eV/atom
! Calculated formation energy ... -0.60 eV per atom
! Crystal system ... hexagonal

---

! Y2Hg SCAN PBEsol geometry; values from VASP
&SYSTEM
  ibrav = 0, nat = 6, ntyp = 2
/
ATOMIC_SPECIES
Y 88.91 Y.upf
Hg 200.59 Hg.upf
ATOMIC_POSITIONS crystal
Y 0.333 0.667 0.750
Y 0.000 0.000 0.500
Y 0.667 0.333 0.250
Y 0.000 0.000 0.000
Hg 0.333 0.667 0.250
Hg 0.667 0.333 0.750
CELL_PARAMETERS angstrom
-2.911 3.283 2.720
3.432 -3.012 2.409
4.750 4.823 -0.738
! SG ... P6_3/mmc (194)
! ρ ... 8.0 g/cm3
! Calculated total energy ... -41.853 eV/atom
! Calculated formation energy ... -0.57 eV per atom
! Crystal system ... hexagonal

---

! Y2Hg SCAN PBEsol geometry; values from VASP
&SYSTEM
  ibrav = 0, nat = 6, ntyp = 2
/
ATOMIC_SPECIES
Hg 200.59 Hg.upf
Y 88.91 Y.upf
ATOMIC_POSITIONS crystal
Hg 0.125 0.549 0.249
Hg 0.875 0.049 0.751
Y 0.803 0.499 0.605
Y 0.197 0.999 0.395
Y 0.516 0.282 0.033
Y 0.484 0.782 0.967
CELL_PARAMETERS angstrom
-3.594 -1.199 0.339
2.093 -6.397 -0.442
2.485 0.375 6.327
! SG ... Cmc2_1 (36)
! ρ ... 7.5 g/cm3
! Calculated total energy ... -41.807 eV/atom
! Calculated formation energy ... -0.52 eV per atom
! Crystal system ... orthorhombic

---

! YHg5 SCAN PBEsol geometry; values from VASP
&SYSTEM
  ibrav = 0, nat = 6, ntyp = 2
/
ATOMIC_SPECIES
Hg 200.59 Hg.upf
Y 88.91 Y.upf
ATOMIC_POSITIONS crystal
Hg 0.500 0.500 0.665
Hg 0.500 0.500 0.335
Hg 0.000 0.000 0.500
Hg 0.000 0.000 0.827
Hg 0.000 0.000 0.173
Y 0.500 0.500 0.000
CELL_PARAMETERS angstrom
3.793 0.000 0.000
0.000 3.793 0.000
0.000 0.000 9.640
! SG ... P4/mmm (123)
! ρ ... 13.1 g/cm3
! Calculated total energy ... -61.707 eV/atom
! Calculated formation energy ... -0.26 eV per atom
! Crystal system ... tetragonal

---

! YHg7 SCAN PBEsol geometry; values from VASP
&SYSTEM
  ibrav = 0, nat = 8, ntyp = 2
/
ATOMIC_SPECIES
Y 88.91 Y.upf
Hg 200.59 Hg.upf
ATOMIC_POSITIONS crystal
Y 0.000 0.000 0.000
Hg 0.000 0.500 0.500
Hg 0.000 0.000 0.500
Hg 0.500 0.500 0.500
Hg 0.500 0.500 0.000
Hg 0.500 0.000 0.500
Hg 0.000 0.500 0.000
Hg 0.500 0.000 0.000
CELL_PARAMETERS angstrom
6.413 0.000 0.000
3.207 5.554 0.000
3.207 1.851 5.236
! SG ... Fm-3m (225)
! ρ ... 13.3 g/cm3
! Calculated total energy ... -63.310 eV/atom
! Calculated formation energy ... -0.18 eV per atom
! Crystal system ... cubic

---

! Y2Hg SCAN PBEsol geometry; values from VASP
&SYSTEM
  ibrav = 0, nat = 9, ntyp = 2
/
ATOMIC_SPECIES
Y 88.91 Y.upf
Hg 200.59 Hg.upf
ATOMIC_POSITIONS crystal
Y 0.500 0.402 0.402
Y 0.000 0.736 0.736
Y 0.500 0.598 0.000
Y 0.500 0.000 0.598
Y 0.000 0.000 0.264
Y 0.000 0.264 0.000
Hg 0.000 0.667 0.333
Hg 0.500 0.000 0.000
Hg 0.000 0.333 0.667
CELL_PARAMETERS angstrom
-4.282 0.032 1.740
-2.074 -5.641 -5.000
2.847 -1.867 7.038
! SG ... P-62m (189)
! ρ ... 7.7 g/cm3
! Calculated total energy ... -41.834 eV/atom
! Calculated formation energy ... -0.55 eV per atom
! Crystal system ... hexagonal

---

! YHg5 SCAN PBEsol geometry; values from VASP
&SYSTEM
  ibrav = 0, nat = 6, ntyp = 2
/
ATOMIC_SPECIES
Y 88.91 Y.upf
Hg 200.59 Hg.upf
ATOMIC_POSITIONS crystal
Y 0.306 0.611 0.111
Hg 0.975 0.951 0.444
Hg 0.641 0.282 0.285
Hg 0.306 0.611 0.611
Hg 0.636 0.271 0.779
Hg 0.970 0.941 0.937
CELL_PARAMETERS angstrom
-0.048 2.112 -3.720
2.291 -5.008 -0.412
-6.660 -0.627 -0.270
! SG ... C2/m (12)
! ρ ... 13.3 g/cm3
! Calculated total energy ... -61.754 eV/atom
! Calculated formation energy ... -0.31 eV per atom
! Crystal system ... monoclinic

---

> What is the ρ in the sixth record?

13.3 g/cm3

---

> The highest calculated formation energy belongs to which entry?

YHg7